Entry 1:
{"formula": "NpSc6O12", "functional": "PBE", "state": "optimized geometry", "lattice_angstrom": [[-6.205, 0.281, 0.348], [0.560, -3.224, -5.291], [1.025, -4.584, 4.079]], "species": ["Np", "Sc", "Sc", "Sc", "Sc", "Sc", "Sc", "O", "O", "O", "O", "O", "O", "O", "O", "O", "O", "O", "O"], "fractional_positions": [[0.000, 0.000, 0.000], [0.664, 0.853, 0.390], [0.610, 0.336, 0.147], [0.147, 0.610, 0.336], [0.336, 0.147, 0.610], [0.390, 0.664, 0.853], [0.853, 0.390, 0.664], [0.821, 0.585, 0.416], [0.416, 0.821, 0.585], [0.585, 0.416, 0.821], [0.179, 0.415, 0.584], [0.584, 0.179, 0.415], [0.415, 0.584, 0.179], [0.103, 0.948, 0.317], [0.052, 0.683, 0.897], [0.683, 0.897, 0.052], [0.897, 0.052, 0.683], [0.948, 0.317, 0.103], [0.317, 0.103, 0.948]], "density_kg_m3": 5040, "spacegroup": "R-3", "e_form_raw_ev_per_atom": -3.39}

---

Entry 2:
{"formula": "NpSc2O", "functional": "PBE", "state": "optimized geometry", "lattice_angstrom": [[-1.970, 1.807, -1.487], [-2.938, -0.816, -0.245], [-3.430, 4.545, 6.921]], "species": ["Np", "Sc", "Sc", "O"], "fractional_positions": [[0.000, 0.000, 0.000], [0.117, 0.117, 0.649], [0.883, 0.883, 0.351], [0.500, 0.500, 0.500]], "n_ef_per_ev_cell": 6.2, "density_kg_m3": 7995, "spacegroup": "R-3m", "e_form_raw_ev_per_atom": -1.12}

---

Entry 3:
{"formula": "Np2ScO8", "functional": "PBE", "state": "optimized geometry", "lattice_angstrom": [[4.723, 0.243, 0.424], [-0.001, 5.904, -3.372], [0.534, -0.623, 5.764]], "species": ["Np", "Np", "Sc", "O", "O", "O", "O", "O", "O", "O", "O"], "fractional_positions": [[0.287, 0.353, 0.705], [0.713, 0.647, 0.295], [0.000, 0.000, 0.000], [0.220, 0.569, 0.139], [0.780, 0.431, 0.861], [0.747, 0.919, 0.273], [0.249, 0.154, 0.309], [0.253, 0.646, 0.727], [0.253, 0.081, 0.727], [0.751, 0.846, 0.691], [0.747, 0.354, 0.273]], "n_ef_per_ev_cell": 5.7, "density_kg_m3": 7209, "spacegroup": "C2/m", "e_form_raw_ev_per_atom": -2.73}

---

Entry 4:
{"formula": "NpScO2", "functional": "PBE", "state": "optimized geometry", "lattice_angstrom": [[-1.628, 2.065, 1.914], [-0.454, -0.709, 3.142], [4.982, 3.524, 3.199]], "species": ["Np", "Sc", "O", "O"], "fractional_positions": [[0.000, 0.000, 0.000], [0.500, 0.500, 0.500], [0.114, 0.114, 0.657], [0.886, 0.886, 0.343]], "n_ef_per_ev_cell": 2.0, "density_kg_m3": 8585, "spacegroup": "R-3m", "e_form_raw_ev_per_atom": -2.54}

---

Entry 5:
{"formula": "NpScO4", "functional": "PBE", "state": "optimized geometry", "lattice_angstrom": [[-2.176, -1.110, -2.409], [-1.841, -3.220, 3.146], [-3.308, 3.235, 1.498]], "species": ["Np", "Sc", "O", "O", "O", "O"], "fractional_positions": [[0.500, 0.000, 0.000], [0.000, 0.500, 0.500], [0.500, 0.305, 0.695], [0.000, 0.805, 0.805], [0.000, 0.195, 0.195], [0.500, 0.695, 0.305]], "n_ef_per_ev_cell": 3.2, "density_kg_m3": 7082, "spacegroup": "Cmmm", "e_form_raw_ev_per_atom": -3.17}

---

Entry 6:
{"formula": "NpScSe2O", "functional": "PBE", "state": "optimized geometry", "lattice_angstrom": [[3.863, 0.000, 0.000], [0.000, 3.863, 0.000], [0.000, 0.000, 13.609]], "species": ["Np", "Np", "Sc", "Sc", "Se", "Se", "Se", "Se", "O", "O"], "fractional_positions": [[0.500, 0.000, 0.593], [0.000, 0.500, 0.407], [0.500, 0.000, 0.103], [0.000, 0.500, 0.897], [0.000, 0.500, 0.700], [0.000, 0.500, 0.101], [0.500, 0.000, 0.899], [0.500, 0.000, 0.300], [0.000, 0.000, 0.500], [0.500, 0.500, 0.500]], "n_ef_per_ev_cell": 15.6, "density_kg_m3": 7456, "spacegroup": "P4/nmm", "e_form_raw_ev_per_atom": -2.04}

---

Entry 7:
{"formula": "NpScSi2O8", "functional": "PBE", "state": "optimized geometry", "lattice_angstrom": [[-5.283, -0.762, -1.942], [2.101, -4.405, 2.906], [-0.162, 4.418, 3.566]], "species": ["Np", "Sc", "Si", "Si", "O", "O", "O", "O", "O", "O", "O", "O"], "fractional_positions": [[0.250, 0.750, 0.500], [0.000, 0.000, 0.000], [0.750, 0.250, 0.500], [0.500, 0.500, 0.000], [0.390, 0.076, 0.314], [0.324, 0.507, 0.183], [0.324, 0.142, 0.817], [0.762, 0.076, 0.686], [0.858, 0.676, 0.183], [0.924, 0.238, 0.314], [0.924, 0.610, 0.686], [0.493, 0.676, 0.817]], "n_ef_per_ev_cell": 4.9, "density_kg_m3": 5519, "spacegroup": "I-4m2", "e_form_raw_ev_per_atom": -2.91}

---

Entry 8:
{"formula": "SmNpScO6", "functional": "PBE", "state": "optimized geometry", "lattice_angstrom": [[-0.252, 3.957, 3.879], [-4.126, -3.677, -0.484], [4.561, -5.957, 6.372]], "species": ["Sm", "Sm", "Np", "Np", "Sc", "Sc", "O", "O", "O", "O", "O", "O", "O", "O", "O", "O", "O", "O"], "fractional_positions": [[0.000, 0.000, 0.000], [0.000, 0.000, 0.500], [0.667, 0.333, 0.250], [0.333, 0.667, 0.750], [0.333, 0.667, 0.250], [0.667, 0.333, 0.750], [0.650, 0.642, 0.139], [0.993, 0.350, 0.139], [0.350, 0.993, 0.639], [0.007, 0.650, 0.861], [0.358, 0.350, 0.361], [0.993, 0.642, 0.361], [0.642, 0.993, 0.861], [0.650, 0.007, 0.361], [0.007, 0.358, 0.639], [0.358, 0.007, 0.139], [0.642, 0.650, 0.639], [0.350, 0.358, 0.861]], "density_kg_m3": 6689, "spacegroup": "P-31c", "e_form_raw_ev_per_atom": -3.20}

---

Entry 9:
{"formula": "SmNpSc2O8", "functional": "PBE", "state": "optimized geometry", "lattice_angstrom": [[4.934, 0.023, -0.003], [0.071, 4.934, -0.006], [0.004, 0.008, 6.907]], "species": ["Sm", "Np", "Sc", "Sc", "O", "O", "O", "O", "O", "O", "O", "O"], "fractional_positions": [[0.000, 0.000, 0.500], [0.000, 0.000, 0.000], [0.500, 0.500, 0.730], [0.500, 0.500, 0.270], [0.197, 0.803, 0.223], [0.717, 0.718, 0.000], [0.803, 0.197, 0.223], [0.803, 0.197, 0.777], [0.283, 0.282, 0.000], [0.197, 0.803, 0.777], [0.678, 0.679, 0.500], [0.322, 0.321, 0.500]], "density_kg_m3": 5979, "spacegroup": "Cmmm", "e_form_raw_ev_per_atom": -3.10}